MnNiIrO6 | GGA+U | relaxed

Results
DFT total energy (eV/atom): -6.27
Space-group type: No. 163

The structure in extended XYZ format:
```
18
Lattice="5.017 0.000 0.000 -2.509 4.345 0.000 0.000 0.000 8.642" Properties=species:S:1:pos:R:3 pbc="T T T"
O -1.612 2.882 7.557
Ir 2.509 1.448 2.161
O 0.896 1.463 3.236
Ir 0.000 2.897 6.482
O -0.793 4.300 5.407
O 0.819 1.508 7.557
O 0.793 4.300 7.557
Mn 0.000 0.000 4.321
Ni 0.000 2.897 2.161
O 1.690 2.837 1.086
O -0.819 1.508 5.407
O 1.715 0.045 1.086
Ni 2.509 1.448 6.482
Mn 0.000 0.000 0.000
O 4.121 1.463 1.086
O 1.612 2.882 5.407
O 3.328 2.837 3.236
O 3.302 0.045 3.236
```